# 1
# PBE-GGA AsIBr3, relaxed
data_AsIBr3
_chemical_formula_sum 'As1 I1 Br3'
_symmetry_space_group_name_H-M 'P m -3 m'
_symmetry_Int_Tables_number 221
_symmetry_space_group_name_Hall '-P 4 2 3'
_cell_length_a 5.792
_cell_length_b 5.792
_cell_length_c 5.792
_cell_angle_alpha 90.00
_cell_angle_beta 90.00
_cell_angle_gamma 90.00
loop_
_atom_site_label
_atom_site_type_symbol
_atom_site_fract_x
_atom_site_fract_y
_atom_site_fract_z
As1 As 0.000 0.000 0.000
I1 I 0.500 0.500 0.500
Br1 Br 0.000 0.500 0.500
# Total moment in μB/cell: 2.18
# ΔE to the lowest computed polymorph in kJ/mol of formula units: 419
# E_tot in eV per atom: -1.62

***

# 2
# PBE-GGA AsIBr2, relaxed
data_AsIBr2
_chemical_formula_sum 'As3 I3 Br6'
_symmetry_space_group_name_H-M 'R -3 m'
_symmetry_Int_Tables_number 166
_symmetry_space_group_name_Hall '-R 3 2"'
_cell_length_a 4.0462
_cell_length_b 4.0462
_cell_length_c 31.2550
_cell_angle_alpha 90.00
_cell_angle_beta 90.00
_cell_angle_gamma 120.00
loop_
_atom_site_label
_atom_site_type_symbol
_atom_site_fract_x
_atom_site_fract_y
_atom_site_fract_z
As1 As 0.0000 0.0000 0.0000
I1 I 0.0000 0.0000 0.5000
Br1 Br 0.0000 0.0000 0.3808
# Total moment in μB/cell: 0.00
# ΔE to the lowest computed polymorph in kJ/mol of formula units: 186
# E_tot in eV per atom: -2.24